1.
Compound: Li2CdGa2Pt2
Source: Alexandria
Functional: PBE
Structure: optimized geometry

```
data_Li2CdGa2Pt2
_space_group_name_H-M_alt 'C 1 2/m 1'
_space_group_IT_number 12
_cell_length_a 7.611
_cell_length_b 4.333
_cell_length_c 7.307
_cell_angle_alpha 90.00
_cell_angle_beta 109.74
_cell_angle_gamma 90.00
loop_
_space_group_symop_operation_xyz
'x,y,z'
'-x,-y,-z'
'-x,y,-z'
'x,-y,z'
'x+1/2,y+1/2,z'
'-x+1/2,-y+1/2,-z'
'-x+1/2,y+1/2,-z'
'x+1/2,-y+1/2,z'
loop_
_atom_site_label
_atom_site_type_symbol
_atom_site_fract_x
_atom_site_fract_y
_atom_site_fract_z
Li1 Li 0.139 0.000 0.418
Cd1 Cd 0.000 0.000 0.000
Ga1 Ga 0.082 0.500 0.745
Pt1 Pt 0.232 0.500 0.202
```

Crystal system: monoclinic
Total moment: 0.0 μB/f.u.
Uncorrected energy: -3.845 eV per atom

---

2.
Compound: LiCdGa2Pt2
Source: Alexandria
Functional: PBE
Structure: optimized geometry

```
data_LiCdGa2Pt2
_space_group_name_H-M_alt 'P -3 m 1'
_space_group_IT_number 164
_space_group_name_Hall '-P 3 2"'
_cell_length_a 4.4246
_cell_length_b 4.4246
_cell_length_c 5.6787
_cell_angle_alpha 90.00
_cell_angle_beta 90.00
_cell_angle_gamma 120.00
loop_
_atom_site_label
_atom_site_type_symbol
_atom_site_fract_x
_atom_site_fract_y
_atom_site_fract_z
Li1 Li 0.0000 0.0000 0.0000
Cd1 Cd 0.0000 0.0000 0.5000
Ga1 Ga 0.3333 0.6667 0.8030
Pt1 Pt 0.3333 0.6667 0.2604
```

Crystal system: trigonal
Total moment: 0.0 μB/f.u.
Uncorrected energy: -4.086 eV per atom

---

3.
Compound: RbLiCd2Ga
Source: Alexandria
Functional: PBE
Structure: optimized geometry

```
data_RbLiCd2Ga
_space_group_name_H-M_alt 'P 4/m m m'
_space_group_IT_number 123
_space_group_name_Hall '-P 4 2'
_cell_length_a 5.430
_cell_length_b 5.430
_cell_length_c 5.365
_cell_angle_alpha 90.00
_cell_angle_beta 90.00
_cell_angle_gamma 90.00
loop_
_atom_site_label
_atom_site_type_symbol
_atom_site_fract_x
_atom_site_fract_y
_atom_site_fract_z
Rb1 Rb 0.000 0.000 0.000
Li1 Li 0.500 0.500 0.000
Cd1 Cd 0.000 0.500 0.500
Ga1 Ga 0.500 0.500 0.500
```

Crystal system: tetragonal
Total moment: 0.0 μB/f.u.
Uncorrected energy: -1.560 eV per atom

---

4.
Compound: LiCdGaSb
Source: Alexandria
Functional: PBE
Structure: optimized geometry

```
data_LiCdGaSb
_space_group_name_H-M_alt 'F -4 3 m'
_space_group_IT_number 216
_space_group_name_Hall 'F -4 2 3'
_cell_length_a 7.125
_cell_length_b 7.125
_cell_length_c 7.125
_cell_angle_alpha 90.00
_cell_angle_beta 90.00
_cell_angle_gamma 90.00
loop_
_atom_site_label
_atom_site_type_symbol
_atom_site_fract_x
_atom_site_fract_y
_atom_site_fract_z
Li1 Li 0.000 0.000 0.000
Cd1 Cd 0.000 0.000 0.500
Ga1 Ga 0.250 0.250 0.750
Sb1 Sb 0.250 0.250 0.250
```

Formation energy (no corrections): -2.285 kcal/mol of atoms
Crystal system: cubic
Total moment: 0.0 μB/f.u.
Uncorrected energy: -2.594 eV per atom

---

5.
Compound: LiCdGaSb2
Source: Alexandria
Functional: PBE
Structure: optimized geometry

```
data_LiCdGaSb2
_space_group_name_H-M_alt 'P 4/m m m'
_space_group_IT_number 123
_space_group_name_Hall '-P 4 2'
_cell_length_a 5.357
_cell_length_b 5.357
_cell_length_c 4.880
_cell_angle_alpha 90.00
_cell_angle_beta 90.00
_cell_angle_gamma 90.00
loop_
_atom_site_label
_atom_site_type_symbol
_atom_site_fract_x
_atom_site_fract_y
_atom_site_fract_z
Li1 Li 0.000 0.000 0.000
Cd1 Cd 0.500 0.500 0.000
Ga1 Ga 0.000 0.000 0.500
Sb1 Sb 0.000 0.500 0.500
```

Formation energy (no corrections): 6.813 kcal/mol of atoms
Crystal system: tetragonal
Total moment: 0.0 μB/f.u.
Uncorrected energy: -2.525 eV per atom

---

6.
Compound: LiCd2GaSe4
Source: Alexandria
Functional: PBE
Structure: optimized geometry

```
data_LiCd2GaSe4
_space_group_name_H-M_alt 'I -4'
_space_group_IT_number 82
_cell_length_a 5.965
_cell_length_b 5.965
_cell_length_c 11.970
_cell_angle_alpha 90.00
_cell_angle_beta 90.00
_cell_angle_gamma 90.00
loop_
_space_group_symop_operation_xyz
'x,y,z'
'y,-x,-z'
'-x,-y,z'
'-y,x,-z'
'x+1/2,y+1/2,z+1/2'
'y+1/2,-x+1/2,-z+1/2'
'-x+1/2,-y+1/2,z+1/2'
'-y+1/2,x+1/2,-z+1/2'
loop_
_atom_site_label
_atom_site_type_symbol
_atom_site_fract_x
_atom_site_fract_y
_atom_site_fract_z
Li1 Li 0.000 0.000 0.000
Cd1 Cd 0.000 0.000 0.500
Cd2 Cd 0.000 0.500 0.250
Ga1 Ga 0.000 0.500 0.750
Se1 Se 0.222 0.743 0.873
```

Formation energy (no corrections): -17.697 kcal/mol of atoms
Crystal system: tetragonal
Total moment: 0.0 μB/f.u.
Uncorrected energy: -3.356 eV per atom